Entry 1:
4
Lattice="5.333 0.000 0.000 2.666 4.618 0.000 2.666 1.539 4.354" Properties=species:S:1:pos:R:3 comment="InHg2Sb (PBE-GGA, optimized geometry)" raw_formation_energy_ev_per_fu=0.19 pbc="T T T"
Hg 0.000 0.000 0.000
Hg 2.666 1.539 1.089
In 5.333 3.079 2.177
Sb 7.999 4.618 3.266

Entry 2:
4
Lattice="-1.476 0.653 2.261 -2.247 -1.182 -1.126 1.507 -5.247 2.499" Properties=species:S:1:pos:R:3 comment="BeNbCo2 (PBE-GGA, optimized geometry)" formation_energy_kcal_per_mol_atoms=-3.7 pbc="T T T"
Be -1.861 -0.264 0.567
Nb -1.108 -2.888 1.817
Co 1.198 -4.172 1.988
Co 0.309 -1.074 0.512

Entry 3:
4
Lattice="0.000 3.212 3.212 3.212 0.000 3.212 3.212 3.212 0.000" Properties=species:S:1:pos:R:3 comment="LaV2Rh (PBE-GGA, optimized geometry)" polymorph_energy_ev_per_fu=0.000 formation_energy_kcal_per_mol_atoms=5.5 pbc="T T T"
La 3.212 3.212 3.212
Rh 0.000 0.000 0.000
V 1.606 1.606 1.606
V 4.818 4.818 4.818

Entry 4:
11
Lattice="-3.200 -1.022 -1.283 4.346 0.359 -11.127 3.818 -8.144 2.000" Properties=species:S:1:pos:R:3 comment="La4Pm2Sm5 (PBE-GGA, optimized geometry)" polymorph_energy_ev_per_fu=0.000 formation_energy_kcal_per_mol_atoms=1.7 pbc="T T T"
La 2.474 -6.146 -1.278
La 3.660 -8.258 -7.594
La 2.490 -2.661 -9.132
La 1.304 -0.549 -2.816
Pm 0.911 -4.114 -4.036
Pm 4.054 -4.693 -6.375
Sm 2.190 -7.337 -4.659
Sm 2.775 -1.470 -5.751
Sm 3.864 -5.749 -10.100
Sm -1.600 -0.511 -0.642
Sm 1.101 -3.058 -0.310

Entry 5:
4
Lattice="0.000 3.383 3.383 3.383 0.000 3.383 3.383 3.383 0.000" Properties=species:S:1:pos:R:3 comment="BaZnF2 (PBE-GGA, optimized geometry)" polymorph_energy_ev_per_fu=0.420 raw_formation_energy_ev_per_fu=-9.45 pbc="T T T"
Zn 0.000 0.000 0.000
Ba 3.383 3.383 3.383
F 1.692 1.692 1.692
F 5.075 5.075 5.075

Entry 6:
6
Lattice="-4.669 -3.972 -2.408 -0.418 -6.233 2.085 -5.030 -1.864 3.821" Properties=species:S:1:pos:R:3 comment="SrBiPb4 (PBE-GGA, optimized geometry)" formation_energy_kcal_per_mol_atoms=-2.9 pbc="T T T"
Pb -3.809 -6.611 0.277
Pb -6.113 -4.427 1.145
Pb -6.322 -7.542 2.187
Pb -3.989 -5.557 3.390
Sr 0.000 0.000 0.000
Bi -2.529 -3.017 0.875

Entry 7:
16
Lattice="6.259 0.000 0.000 0.000 6.084 0.000 0.000 0.000 12.220" Properties=species:S:1:pos:R:3 comment="CdIn2Te (PBE-GGA, optimized geometry)" polymorph_energy_ev_per_fu=0.124 raw_formation_energy_ev_per_fu=-0.36 pbc="T T T"
Cd 3.130 0.000 10.709
Cd 3.130 3.042 4.599
Cd 0.000 0.000 7.703
Cd 0.000 3.042 1.593
Te 0.000 0.000 1.790
Te 0.000 3.042 7.900
Te 3.130 0.000 7.745
Te 3.130 3.042 1.635
In 0.000 0.000 10.929
In 0.000 3.042 4.819
In 4.672 0.000 4.736
In 1.588 0.000 4.736
In 4.672 3.042 10.846
In 1.588 3.042 10.846
In 3.130 0.000 1.459
In 3.130 3.042 7.569

Entry 8:
4
Lattice="-3.594 3.080 -0.510 -4.143 1.474 1.822 0.933 3.366 2.537" Properties=species:S:1:pos:R:3 comment="MnSiRh2 (PBE-GGA, optimized geometry)" raw_formation_energy_ev_per_fu=-1.83 pbc="T T T"
Mn -1.688 1.792 0.836
Rh -7.625 4.706 1.443
Rh -5.293 5.788 2.738
Si -3.335 4.148 2.070

Entry 9:
18
Lattice="-0.683 6.898 0.459 -8.214 -0.548 -3.983 -7.497 -1.082 5.124" Properties=species:S:1:pos:R:3 comment="Na3Tl4Cd2 (PBE-GGA, optimized geometry)" formation_energy_kcal_per_mol_atoms=-2.1 pbc="T T T"
Na -3.136 4.902 0.535
Na -13.599 3.816 1.295
Na -13.258 0.367 1.065
Na -2.795 1.453 0.305
Na -8.026 0.910 0.686
Na -8.368 4.359 0.915
Tl -8.511 2.803 -2.193
Tl -8.696 6.267 -1.975
Tl -7.883 2.466 3.793
Tl -7.698 -0.998 3.575
Tl -5.131 -0.626 1.831
Tl -10.693 2.276 2.440
Tl -11.263 5.895 -0.231
Tl -5.701 2.993 -0.839
Cd -5.386 2.829 2.150
Cd -11.106 5.708 2.769
Cd -11.008 2.440 -0.549
Cd -5.288 -0.439 -1.169

Entry 10:
9
Lattice="3.938 0.000 0.000 0.000 4.200 -2.425 0.000 0.000 4.850" Properties=species:S:1:pos:R:3 comment="LiAl2H6 (PBE-GGA, optimized geometry)" polymorph_energy_ev_per_fu=0.124 pbc="T T T"
Li 0.000 4.200 2.425
Al 1.969 2.800 0.000
Al 1.969 1.400 2.425
H 2.899 2.692 1.554
H 1.039 2.692 3.296
H 1.039 4.200 0.684
H 2.899 1.508 -0.871
H 1.039 1.508 0.871
H 2.899 0.000 1.741

Entry 11:
10
Lattice="-2.224 -5.396 4.338 5.209 1.698 4.783 -1.780 1.783 1.305" Properties=species:S:1:pos:R:3 comment="Hf2SnO2 (PBE-GGA, optimized geometry)" polymorph_energy_ev_per_fu=4.630 raw_formation_energy_ev_per_fu=-6.03 pbc="T T T"
Hf 2.154 1.196 4.388
Hf 2.112 -1.154 7.539
Hf -0.949 -3.111 6.039
Hf -0.907 -0.762 2.887
Sn 0.000 0.000 0.000
Sn 1.492 -1.849 4.560
O 3.764 -0.588 5.935
O 1.209 -3.756 6.779
O -0.779 -3.110 3.186
O 1.776 0.058 2.342

Entry 12:
36
Lattice="-3.222 -5.292 -3.709 3.281 -4.910 4.156 -5.205 0.158 4.296" Properties=species:S:1:pos:R:3 comment="Lu4NiB13 (PBE-GGA, optimized geometry)" formation_energy_kcal_per_mol_atoms=-12.1 pbc="T T T"
Ni -2.573 -5.022 2.371
Ni 0.000 0.000 0.000
B 0.029 -5.101 0.223
B -2.603 0.079 2.148
B -2.888 -6.779 -0.598
B 0.344 -3.344 3.192
B -4.923 -2.493 2.083
B -2.826 -7.472 4.807
B -0.223 -7.551 2.659
B -2.320 -2.572 -0.065
B -5.491 -6.700 1.550
B -2.258 -3.265 5.341
B -0.800 -6.115 1.831
B -1.669 -4.011 0.701
B -1.276 -4.161 6.487
B -6.398 -5.806 0.342
B -0.551 -4.350 2.067
B -1.917 -5.775 0.465
B -4.288 -0.985 2.720
B -3.385 -8.982 4.108
B -4.347 -3.929 2.911
B -3.478 -6.034 4.042
B -3.870 -5.883 -1.744
B 1.251 -4.238 4.401
B -4.595 -5.694 2.675
B -3.229 -4.269 4.278
B -0.858 -9.059 2.022
B -1.761 -1.062 0.634
Lu -4.217 -4.427 0.358
Lu -0.929 -5.617 4.385
Lu 0.456 -2.547 0.646
Lu -0.397 -7.656 -0.199
Lu -2.999 -7.620 1.951
Lu -2.147 -2.424 2.792
Lu -1.586 -4.504 -1.756
Lu 1.645 -5.698 2.203

Number 1: mass density 9.876 g/cm3. Number 2: mass density 7.881 g/cm3. Number 3: mass density 8.612 g/cm3. Number 4: mass density 6.851 g/cm3. Number 5: mass density 5.162 g/cm3. Number 6: mass density 9.252 g/cm3. Number 7: mass density 6.703 g/cm3. Number 8: mass density 8.879 g/cm3. Number 9: mass density 7.332 g/cm3. Number 10: mass density 1.386 g/cm3. Number 11: mass density 11.237 g/cm3. Number 12: mass density 8.482 g/cm3.